Entry 1:
Here is HfZr6Sn3 after structural relaxation from Alexandria. Energies are from PBE.

Structure (POSCAR):
```
HfZr6Sn3
1.0
7.6192 0.0000 0.0000
0.0000 7.7579 0.8232
0.0000 -0.9287 7.7459
Hf Zr Sn
2 12 6
Direct
0.8996 0.3657 0.6343
0.3996 0.6343 0.3657
0.1486 0.6655 0.6638
0.6486 0.6638 0.6655
0.3984 0.5056 0.0047
0.8984 0.0047 0.5056
0.1473 0.1641 0.8359
0.6499 0.1649 0.8351
0.1499 0.8351 0.1649
0.6473 0.8359 0.1641
0.3984 0.9953 0.4944
0.8984 0.4944 0.9953
0.1486 0.3362 0.3345
0.6486 0.3345 0.3362
0.3986 0.8674 0.8624
0.8986 0.8624 0.8674
0.3975 0.3657 0.6343
0.8975 0.6343 0.3657
0.8986 0.1326 0.1376
0.3986 0.1376 0.1326
```

=====

Entry 2:
Here is SrHf after structural relaxation from Alexandria. Energies are from PBE.

Computed properties:
**Relative energy among the computed polymorphs**: 0.000 eV per atom

Structure (POSCAR):
```
SrHf
1.0
11.4916 0.0000 0.0000
0.0000 11.4916 0.0000
0.0000 0.0000 5.1607
Sr Hf
8 8
Direct
0.8528 0.7165 0.5000
0.1472 0.2835 0.5000
0.2835 0.8528 0.5000
0.7165 0.1472 0.5000
0.8849 0.3771 0.0000
0.1151 0.6229 0.0000
0.6229 0.8849 0.0000
0.3771 0.1151 0.0000
0.6802 0.4558 0.5000
0.3198 0.5442 0.5000
0.5442 0.6802 0.5000
0.4558 0.3198 0.5000
0.6648 0.5854 0.0000
0.3352 0.4146 0.0000
0.4146 0.6648 0.0000
0.5854 0.3352 0.0000
```

=====

Entry 3:
Here is SrHf after structural relaxation from Alexandria. Energies are from PBE.

Computed properties:
**Relative energy among the computed polymorphs**: 0.715 eV per atom

Structure (POSCAR):
```
SrHf
1.0
6.5510 0.0000 0.0000
0.0000 6.5510 0.0000
0.0000 0.0000 6.7029
Sr Hf
4 4
Direct
0.1751 0.8249 0.0000
0.6751 0.6751 0.5000
0.3249 0.3249 0.5000
0.8249 0.1751 0.0000
0.3541 0.3541 0.0000
0.8541 0.1459 0.5000
0.1459 0.8541 0.5000
0.6459 0.6459 0.0000
```

=====

Entry 4:
Here is SrHf after structural relaxation from Alexandria. Energies are from PBE.

Computed properties:
**Relative energy among the computed polymorphs**: 2.134 eV per atom

Structure (POSCAR):
```
SrHf
1.0
-1.5742 -8.0134 5.1193
9.4590 -0.7882 1.6750
-0.9740 5.2976 7.9929
Sr Hf
6 6
Direct
0.2500 0.0000 0.5000
0.7500 0.0000 0.5000
0.0000 0.5000 0.2500
0.0000 0.5000 0.7500
0.5000 0.2500 0.0000
0.5000 0.7500 0.0000
0.2500 0.5000 0.0000
0.7500 0.5000 0.0000
0.5000 0.0000 0.2500
0.5000 0.0000 0.7500
0.0000 0.2500 0.5000
0.0000 0.7500 0.5000
```

=====

Entry 5:
Here is SrHf4 after structural relaxation from Alexandria. Energies are from PBE.

Structure (POSCAR):
```
SrHf4
1.0
5.0685 0.0000 0.0000
0.0000 5.0685 0.0000
0.0000 0.0000 5.0685
Sr Hf
1 4
Direct
0.5000 0.5000 0.5000
0.0000 0.0000 0.0000
0.5000 0.0000 0.5000
0.0000 0.5000 0.5000
0.5000 0.5000 0.0000
```

=====

Entry 6:
Here is SrHf after structural relaxation from Alexandria. Energies are from PBE.

Computed properties:
**Relative energy among the computed polymorphs**: 0.116 eV per atom

Structure (POSCAR):
```
SrHf
1.0
-10.4412 1.8019 -4.0014
3.9461 -10.5717 0.9713
-1.2980 -0.1808 3.3055
Sr Hf
6 6
Direct
0.6770 0.8795 0.2500
0.7975 0.6770 0.7500
0.1205 0.7975 0.2500
0.3230 0.1205 0.7500
0.2025 0.3230 0.2500
0.8795 0.2025 0.7500
0.8653 0.4454 0.2500
0.4200 0.8653 0.7500
0.5546 0.4200 0.2500
0.1347 0.5546 0.7500
0.5800 0.1347 0.2500
0.4454 0.5800 0.7500
```

=====

Entry 7:
Here is SrHf after structural relaxation from Alexandria. Energies are from PBE.

Computed properties:
**Relative energy among the computed polymorphs**: 0.269 eV per atom

Structure (POSCAR):
```
SrHf
1.0
12.8723 0.0000 0.0000
0.0000 12.8723 0.0000
0.0000 0.0000 3.3451
Sr Hf
8 8
Direct
0.3741 0.8285 0.0000
0.6259 0.1715 0.0000
0.1715 0.3741 0.0000
0.8285 0.6259 0.0000
0.8741 0.3285 0.5000
0.1259 0.6715 0.5000
0.6715 0.8741 0.5000
0.3285 0.1259 0.5000
0.4380 0.3567 0.0000
0.5620 0.6433 0.0000
0.6433 0.4380 0.0000
0.3567 0.5620 0.0000
0.9380 0.8567 0.5000
0.0620 0.1433 0.5000
0.1433 0.9380 0.5000
0.8567 0.0620 0.5000
```

=====

Entry 8:
Here is SrHf after structural relaxation from Alexandria. Energies are from PBE.

Computed properties:
**Relative energy among the computed polymorphs**: 2.176 eV per atom

Structure (POSCAR):
```
SrHf
1.0
7.0446 0.0000 0.0000
0.0000 7.0446 0.0000
0.0000 0.0000 7.0446
Sr Hf
4 4
Direct
0.2500 0.2500 0.2500
0.2500 0.7500 0.7500
0.7500 0.2500 0.7500
0.7500 0.7500 0.2500
0.0000 0.0000 0.0000
0.0000 0.5000 0.5000
0.5000 0.0000 0.5000
0.5000 0.5000 0.0000
```

=====

Entry 9:
Here is SrHf after structural relaxation from Alexandria. Energies are from PBE.

Computed properties:
**Relative energy among the computed polymorphs**: 0.010 eV per atom

Structure (POSCAR):
```
SrHf
1.0
-2.9708 -1.4256 0.4962
3.7030 -5.6901 5.8237
-2.5664 8.9651 10.3913
Sr Hf
6 6
Direct
0.0000 0.6769 0.6667
0.5000 0.3231 0.8333
0.5000 0.3231 0.1667
0.0000 0.6769 0.3333
0.0000 0.6770 0.0000
0.5000 0.3230 0.5000
0.0000 0.9497 0.8333
0.5000 0.0503 0.6667
0.5000 0.0503 0.3333
0.0000 0.9497 0.1667
0.0000 0.9496 0.5000
0.5000 0.0504 0.0000
```

=====

Entry 10:
Here is SrHf after structural relaxation from Alexandria. Energies are from PBE.

Computed properties:
**Relative energy among the computed polymorphs**: 0.215 eV per atom

Structure (POSCAR):
```
SrHf
1.0
-5.2048 0.5936 -2.9196
0.2467 -3.1931 5.0705
-1.2025 4.8904 3.1382
Sr Hf
3 3
Direct
0.3333 0.6667 0.5000
0.6667 0.3333 0.5000
0.0000 0.0000 0.5000
0.3681 0.0000 0.0000
0.0000 0.3681 0.0000
0.6319 0.6319 0.0000
```

=====

Entry 11:
Here is SrHf after structural relaxation from Alexandria. Energies are from PBE.

Computed properties:
**Relative energy among the computed polymorphs**: 1.172 eV per atom

Structure (POSCAR):
```
SrHf
1.0
6.6370 0.0000 0.0000
0.0000 6.6370 0.0000
0.0000 0.0000 6.6370
Sr Hf
4 4
Direct
0.0000 0.0000 0.0000
0.0000 0.5000 0.5000
0.5000 0.0000 0.5000
0.5000 0.5000 0.0000
0.5000 0.5000 0.5000
0.5000 0.0000 0.0000
0.0000 0.5000 0.0000
0.0000 0.0000 0.5000
```

=====

Entry 12:
Here is Sr4Hf after structural relaxation from Alexandria. Energies are from PBE.

Structure (POSCAR):
```
Sr4Hf
1.0
6.3412 0.0000 0.0000
0.0000 6.3412 0.0000
0.0000 0.0000 6.3412
Sr Hf
4 1
Direct
0.0000 0.0000 0.0000
0.5000 0.0000 0.5000
0.0000 0.5000 0.5000
0.5000 0.5000 0.0000
0.5000 0.5000 0.5000
```

=====

Entry 13:
Here is SrHf after structural relaxation from Alexandria. Energies are from PBE.

Computed properties:
**Relative energy among the computed polymorphs**: 0.707 eV per atom

Structure (POSCAR):
```
SrHf
1.0
-4.7224 4.4901 7.9274
0.7636 -8.7026 5.3841
9.0786 3.0676 3.6707
Sr Hf
8 8
Direct
0.2058 0.2058 0.2058
0.2058 0.7942 0.7942
0.7942 0.2058 0.7942
0.7942 0.7942 0.2058
0.7058 0.7058 0.7058
0.7058 0.2942 0.2942
0.2942 0.7058 0.2942
0.2942 0.2942 0.7058
0.4045 0.4045 0.4045
0.4045 0.5955 0.5955
0.5955 0.4045 0.5955
0.5955 0.5955 0.4045
0.9045 0.9045 0.9045
0.9045 0.0955 0.0955
0.0955 0.9045 0.0955
0.0955 0.0955 0.9045
```

=====

Entry 14:
Here is SrHf after structural relaxation from Alexandria. Energies are from PBE.

Computed properties:
**Relative energy among the computed polymorphs**: 0.172 eV per atom

Structure (POSCAR):
```
SrHf
1.0
-1.7009 -4.7243 -4.2812
5.5228 3.0934 -5.6078
6.7019 -5.5965 3.5132
Sr Hf
8 8
Direct
0.0109 0.8145 0.5392
0.5109 0.6855 0.4608
0.9891 0.3145 0.9608
0.4891 0.1855 0.0392
0.1237 0.4568 0.2958
0.6237 0.0432 0.7042
0.8763 0.9568 0.2042
0.3763 0.5432 0.7958
0.6441 0.2934 0.4090
0.1441 0.2066 0.5910
0.3559 0.7934 0.0910
0.8559 0.7066 0.9090
0.3626 0.0445 0.3491
0.8626 0.4556 0.6509
0.6374 0.5444 0.1509
0.1374 0.9556 0.8491
```

=====

Entry 15:
Here is SrHf after structural relaxation from Alexandria. Energies are from PBE.

Computed properties:
**Relative energy among the computed polymorphs**: 0.292 eV per atom

Structure (POSCAR):
```
SrHf
1.0
-2.3220 -5.7134 -1.1081
16.0268 -5.9770 -2.7659
0.8419 -2.2179 9.6715
Sr Hf
16 16
Direct
0.0000 0.0000 0.6652
0.0000 0.0000 0.3348
0.2500 0.7500 0.5848
0.2500 0.7500 0.9152
0.0000 0.5000 0.1652
0.0000 0.5000 0.8348
0.2500 0.2500 0.0848
0.2500 0.2500 0.4152
0.5000 0.0000 0.1652
0.5000 0.0000 0.8348
0.7500 0.7500 0.0848
0.7500 0.7500 0.4152
0.5000 0.5000 0.6652
0.5000 0.5000 0.3348
0.7500 0.2500 0.5848
0.7500 0.2500 0.9152
0.0000 0.0798 0.0000
0.0000 0.9202 0.0000
0.2500 0.6702 0.2500
0.2500 0.8298 0.2500
0.0000 0.5798 0.5000
0.0000 0.4202 0.5000
0.2500 0.1702 0.7500
0.2500 0.3298 0.7500
0.5000 0.0798 0.5000
0.5000 0.9202 0.5000
0.7500 0.6702 0.7500
0.7500 0.8298 0.7500
0.5000 0.5798 0.0000
0.5000 0.4202 0.0000
0.7500 0.1702 0.2500
0.7500 0.3298 0.2500
```

=====

Entry 16:
Here is SrHf after structural relaxation from Alexandria. Energies are from PBE.

Computed properties:
**Relative energy among the computed polymorphs**: 1.617 eV per atom

Structure (POSCAR):
```
SrHf
1.0
-3.1241 -0.9879 -4.7877
5.1443 -2.5912 0.6930
-2.8747 -4.9332 2.8937
Sr Hf
2 2
Direct
0.3333 0.6667 0.2500
0.6667 0.3333 0.7500
0.3333 0.6667 0.7500
0.6667 0.3333 0.2500
```

=====

Entry 17:
Here is SrHf3Ta after structural relaxation from Alexandria. Energies are from PBE.

Computed properties:
**Relative energy among the computed polymorphs**: 0.000 eV per atom

Structure (POSCAR):
```
SrHf3Ta
1.0
-1.5008 -1.2282 -4.8844
-2.0143 -4.5249 1.7567
-4.6161 2.3738 0.8214
Sr Hf Ta
1 3 1
Direct
0.5000 0.5000 0.5000
0.0000 0.5000 0.0000
0.0000 0.0000 0.5000
0.5000 0.0000 0.0000
0.0000 0.0000 0.0000
```

=====

Entry 18:
Here is Sr2HfTa after structural relaxation from Alexandria. Energies are from PBE.

Computed properties:
**Relative energy among the computed polymorphs**: 0.109 eV per atom

Structure (POSCAR):
```
Sr2HfTa
1.0
9.0412 0.0000 0.0000
0.0000 9.0412 0.0000
4.5206 4.5206 3.0108
Sr Hf Ta
4 2 2
Direct
0.6414 0.1250 0.2500
0.1086 0.6250 0.2500
0.3750 0.3586 0.7500
0.8750 0.8914 0.7500
0.5000 0.5000 0.0000
0.2500 0.7500 0.5000
0.0000 0.0000 0.0000
0.7500 0.2500 0.5000
```

=====

Entry 19:
Here is Sr2HfTa after structural relaxation from Alexandria. Energies are from PBE.

Computed properties:
**Relative energy among the computed polymorphs**: 0.000 eV per atom

Structure (POSCAR):
```
Sr2HfTa
1.0
0.0000 3.9129 3.9129
3.9129 0.0000 3.9129
3.9129 3.9129 0.0000
Sr Hf Ta
2 1 1
Direct
0.2500 0.2500 0.2500
0.7500 0.7500 0.7500
0.0000 0.0000 0.0000
0.5000 0.5000 0.5000
```

=====

Entry 20:
Here is SrHfTa2 after structural relaxation from Alexandria. Energies are from PBE.

Computed properties:
**Relative energy among the computed polymorphs**: 0.000 eV per atom

Structure (POSCAR):
```
SrHfTa2
1.0
0.0000 3.5659 3.5659
3.5659 0.0000 3.5659
3.5659 3.5659 0.0000
Sr Hf Ta
1 1 2
Direct
0.0000 0.0000 0.0000
0.5000 0.5000 0.5000
0.2500 0.2500 0.2500
0.7500 0.7500 0.7500
```

=====

no.,ΔH_f (0 K) (eV/atom)
1,-0.296
2,0.520
3,1.235
4,2.654
5,1.959
6,0.636
7,0.789
8,2.696
9,0.530
10,0.735
11,1.692
12,0.708
13,1.227
14,0.692
15,0.812
16,2.137
17,0.831
18,1.417
19,1.308
20,1.053